(1)
A relaxed structure of BaAc2TaN4. Source: Alexandria via LeMat-Bulk, functional PBE.

Output
For the magnetic moment, the calculation gives 0.00 μB per cell. Its uncorrected energy is -7.93 eV per atom. The formation energy from raw total energies comes out at -8.17 eV per formula unit. The volume is 20.43 Å³ per atom.

Cell and atoms, written as POSCAR:
```
BaAc2TaN4
1.0
1.853 -6.679 0.000
1.853 6.679 0.000
0.000 0.000 13.209
Ba Ac Ta N
2 4 2 8
direct
0.091 0.909 0.750
0.909 0.091 0.250
0.370 0.630 0.535
0.370 0.630 0.965
0.630 0.370 0.035
0.630 0.370 0.465
0.178 0.822 0.250
0.822 0.178 0.750
0.000 0.000 0.000
0.000 0.000 0.500
0.263 0.737 0.133
0.263 0.737 0.367
0.394 0.606 0.750
0.606 0.394 0.250
0.737 0.263 0.633
0.737 0.263 0.867
```

---

(2)
A relaxed structure of Pm2Tm2In. Source: Alexandria via LeMat-Bulk, functional PBE.

Output
For the magnetic moment, the calculation gives 0.00 μB per cell. Its uncorrected energy is -4.28 eV per atom. The volume is 31.00 Å³ per atom. The energy of formation from the pure elements comes out at -1.0 kcal/mol of atoms. For the offset from the most stable computed form, the calculation gives 0 meV per atom.

Cell and atoms, written as POSCAR:
```
Pm2Tm2In
1.0
5.429 0.000 0.000
-2.714 4.702 0.000
0.000 0.000 12.144
Pm Tm In
4 4 2
direct
0.333 0.667 0.089
0.333 0.667 0.411
0.667 0.333 0.589
0.667 0.333 0.911
0.000 0.000 0.000
0.000 0.000 0.500
0.333 0.667 0.750
0.667 0.333 0.250
0.000 0.000 0.250
0.000 0.000 0.750
```

---

(3)
A relaxed structure of GeW3I. Source: Alexandria via LeMat-Bulk, functional PBE.

Output
For the magnetic moment, the calculation gives 0.00 μB per cell. Its uncorrected energy is -6.13 eV per atom. The formation energy from raw total energies comes out at 14.36 eV per formula unit. The volume is 23.54 Å³ per atom. For the offset from the most stable computed form, the calculation gives 795 meV per atom.

Cell and atoms, written as POSCAR:
```
GeW3I
1.0
4.901 0.000 0.000
0.000 4.901 0.000
0.000 0.000 4.901
Ge W I
1 3 1
direct
0.000 0.000 0.000
0.000 0.500 0.500
0.500 0.000 0.500
0.500 0.500 0.000
0.500 0.500 0.500
```

---

(4)
A relaxed structure of HfAl2Cu. Source: Alexandria via LeMat-Bulk, functional PBE.

Output
For the magnetic moment, the calculation gives 0.00 μB per cell. Its uncorrected energy is -5.22 eV per atom. The volume is 18.15 Å³ per atom. The energy of formation from the pure elements comes out at 3.8 kcal/mol of atoms.

Cell and atoms, written as POSCAR:
```
HfAl2Cu
1.0
-1.931 1.931 9.737
1.931 -1.931 9.737
1.931 1.931 -9.737
Hf Al Cu
2 4 2
direct
0.000 0.000 0.000
0.750 0.250 0.500
0.132 0.625 0.007
0.375 0.382 0.507
0.618 0.125 0.993
0.875 0.868 0.493
0.250 0.750 0.500
0.500 0.500 0.000
```

---

(5)
A relaxed structure of LaMoPt2. Source: Alexandria via LeMat-Bulk, functional PBE.

Output
For the magnetic moment, the calculation gives 1.10 μB per cell. Its uncorrected energy is -7.02 eV per atom. The volume is 18.92 Å³ per atom. The energy of formation from the pure elements comes out at -1.5 kcal/mol of atoms. For the offset from the most stable computed form, the calculation gives 443 meV per atom.

Cell and atoms, written as POSCAR:
```
LaMoPt2
1.0
0.000 3.357 3.357
3.357 0.000 3.357
3.357 3.357 0.000
La Mo Pt
1 1 2
direct
0.000 0.000 0.000
0.750 0.750 0.750
0.250 0.250 0.250
0.500 0.500 0.500
```

---

(6)
A relaxed structure of PrY2Tl9. Source: Alexandria via LeMat-Bulk, functional PBE.

Output
For the magnetic moment, the calculation gives 0.00 μB per cell. Its uncorrected energy is -3.53 eV per atom. The volume is 27.68 Å³ per atom. The energy of formation from the pure elements comes out at -6.4 kcal/mol of atoms.

Cell and atoms, written as POSCAR:
```
PrY2Tl9
1.0
4.802 0.000 0.000
0.000 4.802 0.000
0.000 0.000 14.401
Pr Y Tl
1 2 9
direct
0.000 0.000 0.000
0.000 0.000 0.335
0.000 0.000 0.665
0.000 0.500 0.170
0.000 0.500 0.500
0.000 0.500 0.830
0.500 0.000 0.170
0.500 0.000 0.500
0.500 0.000 0.830
0.500 0.500 0.000
0.500 0.500 0.334
0.500 0.500 0.666
```

---

(7)
A relaxed structure of BaHgSe2. Source: Alexandria via LeMat-Bulk, functional PBE.

Output
For the magnetic moment, the calculation gives 0.00 μB per cell. Its uncorrected energy is -3.31 eV per atom. The formation energy from raw total energies comes out at -4.05 eV per formula unit. The volume is 34.94 Å³ per atom.

Cell and atoms, written as POSCAR:
```
BaHgSe2
1.0
4.666 0.000 0.000
-2.333 4.041 0.000
0.000 0.000 7.412
Ba Hg Se
1 1 2
direct
0.000 0.000 0.000
0.333 0.667 0.434
0.333 0.667 0.781
0.667 0.333 0.285
```

---

(8)
A relaxed structure of K2HPd. Source: Alexandria via LeMat-Bulk, functional PBE.

Output
For the magnetic moment, the calculation gives 0.00 μB per cell. Its uncorrected energy is -2.77 eV per atom. The volume is 30.58 Å³ per atom. For the offset from the most stable computed form, the calculation gives 0 meV per atom.

Cell and atoms, written as POSCAR:
```
K2HPd
1.0
-5.886 5.886 1.765
5.886 -5.886 1.765
5.886 5.886 -1.765
K H Pd
4 2 2
direct
0.000 0.000 0.000
0.000 0.000 0.500
0.000 0.500 0.000
0.500 0.000 0.500
0.125 0.875 0.250
0.875 0.125 0.750
0.375 0.625 0.750
0.625 0.375 0.250
```

---

| no. | N(E_F) (states/eV per atom) |
| --- | --- |
| 1 | 0.306 |
| 2 | 1.381 |
| 3 | 1.634 |
| 4 | 0.567 |
| 5 | 1.231 |
| 6 | 0.319 |
| 7 | 0.013 |
| 8 | 0.568 |